Record 1
First-principles (PBE-GGA) data for a geometry-optimized ErHgPdRu structure, as listed in Alexandria via LeMat-Bulk.

Cell: 4.717 4.717 4.717 Å, 60.00 60.00 60.00°
Sites, in units of the cell vectors:
Ru  0.250  0.250  0.250
Hg  0.000  0.000  0.000
Pd  0.750  0.750  0.750
Er  0.500  0.500  0.500

=====

Record 2
First-principles (PBE-GGA) data for a geometry-optimized Er4HgPd2Ru structure, as listed in Alexandria via LeMat-Bulk.

Cell: 4.953 4.953 8.620 Å, 73.30 73.30 60.00°
Sites, in units of the cell vectors:
Er  0.383  0.383  0.851
Er  0.869  0.869  0.392
Er  0.131  0.131  0.608
Er  0.617  0.617  0.149
Hg  0.000  0.000  0.000
Pd  0.751  0.751  0.747
Pd  0.249  0.249  0.253
Ru  0.500  0.500  0.500

=====

Record 3
First-principles (PBE-GGA) data for a geometry-optimized Er4HgPdRu2 structure, as listed in Alexandria via LeMat-Bulk.

Cell: 4.905 4.905 8.512 Å, 73.25 73.25 60.00°
Sites, in units of the cell vectors:
Er  0.379  0.379  0.863
Er  0.872  0.872  0.384
Er  0.128  0.128  0.616
Er  0.621  0.621  0.137
Hg  0.000  0.000  0.000
Pd  0.500  0.500  0.500
Ru  0.750  0.750  0.750
Ru  0.250  0.250  0.250

=====

Record 4
First-principles (PBE-GGA) data for a geometry-optimized ErScHgPd structure, as listed in Alexandria via LeMat-Bulk.

- E above lowest polymorph: 0.0 meV/atom

Cell: 3.424 3.424 7.324 Å, 90.00 90.00 90.00°
Sites, in units of the cell vectors:
Er  0.500  0.500  0.130
Sc  0.500  0.500  0.582
Hg  0.000  0.000  0.838
Pd  0.000  0.000  0.378

=====

Record 5
First-principles (PBE-GGA) data for a geometry-optimized ErScHgPd structure, as listed in Alexandria via LeMat-Bulk.

- E above lowest polymorph: 41.0 meV/atom

Cell: 4.958 4.958 4.958 Å, 60.00 60.00 60.00°
Sites, in units of the cell vectors:
Sc  0.000  0.000  0.000
Hg  0.750  0.750  0.750
Pd  0.250  0.250  0.250
Er  0.500  0.500  0.500

=====

Record 6
First-principles (PBE-GGA) data for a geometry-optimized ErTlHgPd structure, as listed in Alexandria via LeMat-Bulk.

Cell: 5.001 5.001 5.001 Å, 60.00 60.00 60.00°
Sites, in units of the cell vectors:
Tl  0.750  0.750  0.750
Hg  0.500  0.500  0.500
Pd  0.000  0.000  0.000
Er  0.250  0.250  0.250

=====

Record 7
First-principles (PBE-GGA) data for a geometry-optimized YErHgPd structure, as listed in Alexandria via LeMat-Bulk.

- E above lowest polymorph: 36.7 meV/atom

Cell: 5.099 5.099 5.099 Å, 60.00 60.00 60.00°
Sites, in units of the cell vectors:
Y  0.500  0.500  0.500
Hg  0.250  0.250  0.250
Pd  0.750  0.750  0.750
Er  0.000  0.000  0.000

=====

Record 8
First-principles (PBE-GGA) data for a geometry-optimized YErHgPd structure, as listed in Alexandria via LeMat-Bulk.

- E above lowest polymorph: 0.0 meV/atom

Cell: 3.568 3.568 7.358 Å, 90.00 90.00 90.00°
Sites, in units of the cell vectors:
Y  0.500  0.500  0.588
Er  0.500  0.500  0.129
Hg  0.000  0.000  0.862
Pd  0.000  0.000  0.349

=====

Ordered DFT formation energy results: -1.103 -5.552 -4.363 -2.695 -2.531 -1.624 -2.641 -2.787; unit eV/f.u..